The following is a DFT calculation (PBE) of Na2CdGeBr after structural relaxation.

The space group is P4/mmm (No. 123) and the conventional cell measures 5.190, 5.190 and 6.068 Å, with angles of 90.00, 90.00 and 90.00 degrees. The distinct sites, in fractional coordinates, are Na at (0.000, 0.500, 0.000), Cd at (0.000, 0.000, 0.500), Ge at (0.500, 0.500, 0.500) and Br at (0.000, 0.000, 0.000).

The total moment is 0.3 μB/f.u. The total energy is -1.994 eV per atom. The density of states at the Fermi level comes out at 0.635 states/eV/atom.